Record 1
Compound: SrTcIr
Source: Alexandria
Functional: PBE
Structure: relaxed

## Properties
DFT total energy = -15.40 eV/f.u.
Total moment = 3.2 μB/f.u.
Energy above the lowest structure with this stoichiometry = 1833.2 meV/atom

abc: 6.602 6.602 6.602
angles: 90.00 90.00 90.00
Atoms (fractional coordinates):
Sr: 0.000 0.000 0.000
Sr: 0.000 0.500 0.500
Sr: 0.500 0.000 0.500
Sr: 0.500 0.500 0.000
Tc: 0.250 0.250 0.250
Tc: 0.250 0.750 0.750
Tc: 0.750 0.250 0.750
Tc: 0.750 0.750 0.250
Ir: 0.250 0.250 0.750
Ir: 0.250 0.750 0.250
Ir: 0.750 0.250 0.250
Ir: 0.750 0.750 0.750

Record 2
Compound: Nd3GeI2
Source: Alexandria
Functional: PBE
Structure: relaxed

## Properties
Formation energy from raw total energies = -0.67 eV/atom
DFT total energy = -26.06 eV/f.u.
Total moment = 0.0 μB/f.u.

abc: 8.536 8.536 6.120
angles: 90.00 90.00 76.65
Atoms (fractional coordinates):
Nd: 0.132 0.868 0.750
Nd: 0.137 0.522 0.250
Nd: 0.478 0.863 0.250
Nd: 0.522 0.137 0.750
Nd: 0.863 0.478 0.750
Nd: 0.868 0.132 0.250
Ge: 0.144 0.856 0.250
Ge: 0.856 0.144 0.750
I: 0.232 0.473 0.750
I: 0.473 0.232 0.250
I: 0.527 0.768 0.750
I: 0.768 0.527 0.250

Record 3
Compound: CdWSe
Source: Alexandria
Functional: PBE
Structure: relaxed

## Properties
Formation energy from raw total energies = 0.47 eV/atom
DFT total energy = -15.94 eV/f.u.
Total moment = 0.0 μB/f.u.
Energy above the lowest structure with this stoichiometry = 376.1 meV/atom

abc: 3.165 4.848 17.093
angles: 90.00 90.00 90.00
Atoms (fractional coordinates):
Cd: 0.000 0.000 0.000
Cd: 0.000 0.500 0.500
Cd: 0.500 0.000 0.500
Cd: 0.500 0.500 0.000
W: 0.000 0.000 0.651
W: 0.000 0.500 0.151
W: 0.500 0.000 0.151
W: 0.500 0.500 0.651
Se: 0.000 0.000 0.267
Se: 0.000 0.500 0.767
Se: 0.500 0.000 0.767
Se: 0.500 0.500 0.267

Record 4
Compound: RbFeGe2
Source: Alexandria
Functional: PBE
Structure: relaxed

## Properties
DFT total energy = -18.49 eV/f.u.
Total moment = 0.0 μB/f.u.
Energy above the lowest structure with this stoichiometry = 0.0 meV/atom

abc: 6.396 6.396 11.972
angles: 90.00 90.00 90.00
Atoms (fractional coordinates):
Rb: 0.000 0.250 0.375
Rb: 0.000 0.750 0.625
Rb: 0.500 0.250 0.125
Rb: 0.500 0.750 0.875
Fe: 0.000 0.250 0.875
Fe: 0.000 0.750 0.125
Fe: 0.500 0.250 0.625
Fe: 0.500 0.750 0.375
Ge: 0.000 0.000 0.000
Ge: 0.000 0.500 0.000
Ge: 0.250 0.250 0.750
Ge: 0.250 0.750 0.250
Ge: 0.500 0.000 0.500
Ge: 0.500 0.500 0.500
Ge: 0.750 0.250 0.750
Ge: 0.750 0.750 0.250